Compound: YScWO6
Source: the Alexandria database
Functional: PBE with a Hubbard U
Structure: optimized geometry

Properties
As for the energy: -8.45 eV per atom. As for the symmetry: P-31c (163).

POSCAR file:
```
YScWO6
1.0
-0.272 5.285 0.593
-1.218 -2.220 -4.685
-9.258 -0.788 2.780
O Sc Y W
12 2 2 2
Cartesian
-4.386 3.474 -1.384
-7.193 -0.857 -2.601
-9.340 0.502 -1.808
-8.517 0.324 0.884
-6.881 1.390 -0.925
-6.362 -1.196 0.072
-2.231 1.954 -2.196
-1.964 4.294 -0.645
-3.555 3.134 1.289
-8.783 -2.017 -0.667
-3.867 0.888 -0.387
-1.408 1.776 0.496
-7.531 2.193 0.919
-3.217 0.085 -2.231
-4.629 -0.394 1.390
0.000 0.000 0.000
-2.902 2.587 -0.471
-7.846 -0.309 -0.841
```